Computed, not measured: a geometry-optimized K3CrF6 structure at the GGA-PBEsol level of DFT.

Summary:
The total magnetization comes out at 3.00 μB/f.u. The value obtained for the density of states at the Fermi level is 0.00 states/eV/f.u. Its volume is 16.45 Å³/atom. As for the uncorrected formation energy: -269.00 kJ per mole of atoms.

```
K3CrF6
1.0
0.000 4.349 4.349
4.349 0.000 4.349
4.349 4.349 0.000
K Cr F
3 1 6
Direct
0.000 0.000 0.000 K
0.250 0.250 0.250 K
0.750 0.750 0.750 K
0.500 0.500 0.500 Cr
0.281 0.281 0.719 F
0.281 0.719 0.281 F
0.281 0.719 0.719 F
0.719 0.281 0.281 F
0.719 0.281 0.719 F
0.719 0.719 0.281 F
```